Density functional theory data (PBE) for Ge6Pt3Rh after structural relaxation.

a = 10.217 Å, b = 3.631 Å, c = 10.757 Å
α = 90.00°, β = 114.94°, γ = 90.00°
Positions (direct):
Ge: 0.025 0.250 0.149
Ge: 0.070 0.750 0.622
Ge: 0.249 0.250 0.531
Ge: 0.301 0.250 0.018
Ge: 0.375 0.750 0.319
Ge: 0.431 0.750 0.805
Ge: 0.569 0.250 0.195
Ge: 0.625 0.250 0.681
Ge: 0.699 0.750 0.982
Ge: 0.751 0.750 0.469
Ge: 0.930 0.250 0.378
Ge: 0.975 0.750 0.851
Pt: 0.180 0.750 0.095
Pt: 0.248 0.250 0.772
Pt: 0.439 0.750 0.570
Pt: 0.561 0.250 0.430
Pt: 0.752 0.750 0.228
Pt: 0.820 0.250 0.905
Rh: 0.096 0.750 0.347
Rh: 0.904 0.250 0.653

Properties
total magnetization	0.00	μB/f.u.
crystal system	monoclinic
uncorrected energy	-5.646	eV per atom
energy of formation from the pure elements	-0.328	eV per atom
density of states at the Fermi level	2.9	states/eV/f.u.
SG	P2_1/m
calculated volume	361.9	Å³ per cell

Density functional theory data (PBE) for CsTi3I12 after structural relaxation.

a = 14.770 Å, b = 14.770 Å, c = 10.132 Å
α = 90.00°, β = 90.00°, γ = 120.00°
Positions (direct):
Cs: 0.333 0.667 0.250
Cs: 0.667 0.333 0.750
Ti: 0.099 0.713 0.750
Ti: 0.287 0.386 0.750
Ti: 0.386 0.099 0.250
Ti: 0.614 0.901 0.750
Ti: 0.713 0.614 0.250
Ti: 0.901 0.287 0.250
I: 0.013 0.489 0.250
I: 0.016 0.203 0.250
I: 0.186 0.984 0.250
I: 0.203 0.186 0.750
I: 0.217 0.775 0.543
I: 0.217 0.775 0.957
I: 0.225 0.442 0.543
I: 0.225 0.442 0.957
I: 0.442 0.217 0.043
I: 0.442 0.217 0.457
I: 0.476 0.987 0.250
I: 0.489 0.476 0.750
I: 0.511 0.524 0.250
I: 0.524 0.013 0.750
I: 0.558 0.783 0.543
I: 0.558 0.783 0.957
I: 0.775 0.558 0.043
I: 0.775 0.558 0.457
I: 0.783 0.225 0.043
I: 0.783 0.225 0.457
I: 0.797 0.814 0.250
I: 0.814 0.016 0.750
I: 0.984 0.797 0.750
I: 0.987 0.511 0.750

Properties
formation energy (no corrections)	-821	meV per atom
total magnetization	1.02	μB/f.u.
crystal system	hexagonal
uncorrected energy	-3.517	eV per atom
density of states at the Fermi level	10.5	states/eV/f.u.
SG	P6_3/m
calculated volume	1914.0	Å³ per cell

Density functional theory data (PBE) for CaCuPb2 after structural relaxation.

a = 4.610 Å, b = 4.610 Å, c = 6.336 Å
α = 111.41°, β = 111.41°, γ = 60.04°
Positions (direct):
Ca: 0.000 0.000 0.000
Cu: 0.500 0.500 0.500
Pb: 0.225 0.225 0.675
Pb: 0.775 0.775 0.325

Properties
total magnetization	0.00	μB/f.u.
crystal system	monoclinic
uncorrected energy	-3.501	eV per atom
energy of formation from the pure elements	-0.122	eV per atom
density of states at the Fermi level	1.2	states/eV/f.u.
SG	C2/m
calculated volume	105.8	Å³ per cell